VASP calculation (meta-GGA SCAN) on SbTeMo2 at its PBEsol-relaxed geometry.

Lattice parameters (Å, degrees): 6.293 8.542 3.152 90.00 116.05 90.00
Space group C2/m (No. 12)
One atom of each set of equivalent atoms:
Sb: 0.000 0.000 0.000 [2 per cell]
Te: 0.000 0.500 0.000 [2 per cell]
Mo: 0.250 0.250 0.500 [4 per cell]

Calculated values
E_form (uncorrected) = 0.819 eV/atom
ΔE to the lowest computed polymorph = 551 meV/atom
calculated total energy = -35.25 eV per atom
magnetization = 0.0 μB/f.u.

---

VASP calculation (meta-GGA SCAN) on Nb3TeO at its PBEsol-relaxed geometry.

Lattice parameters (Å, degrees): 4.283 4.283 4.283 90.00 90.00 90.00
Space group Pm-3m (No. 221)
One atom of each set of equivalent atoms:
Nb: 0.000 0.000 0.500 [3 per cell]
Te: 0.500 0.500 0.500 [1 per cell]
O: 0.000 0.000 0.000 [1 per cell]

Calculated values
E_form (uncorrected) = -0.649 eV/atom
ΔE to the lowest computed polymorph = 0 meV/atom
calculated total energy = -29.22 eV per atom
magnetization = 0.0 μB/f.u.

---

VASP calculation (meta-GGA SCAN) on Ag4RuW at its PBEsol-relaxed geometry.

Lattice parameters (Å, degrees): 7.271 7.271 7.271 90.00 90.00 90.00
Space group F-43m (No. 216)
One atom of each set of equivalent atoms:
Ag: 0.125 0.125 0.125 [16 per cell]
Ru: 0.250 0.250 0.750 [4 per cell]
W: 0.000 0.000 0.500 [4 per cell]

Calculated values
ΔE_f = 0.961 eV/atom
calculated total energy = -37.37 eV per atom
magnetization = 0.0 μB/f.u.

---

VASP calculation (meta-GGA SCAN) on Zn2HPd2 at its PBEsol-relaxed geometry.

Lattice parameters (Å, degrees): 3.640 3.640 11.946 90.00 90.00 90.00
Space group I4/mmm (No. 139)
One atom of each set of equivalent atoms:
Zn: 0.000 0.000 0.099 [4 per cell]
H: 0.000 0.000 0.500 [2 per cell]
Pd: 0.000 0.500 0.250 [4 per cell]

Calculated values
calculated total energy = -18.79 eV per atom
magnetization = 0.0 μB/f.u.

---

VASP calculation (meta-GGA SCAN) on AlCo2As at its PBEsol-relaxed geometry.

Lattice parameters (Å, degrees): 2.902 2.902 5.665 90.00 90.00 90.00
Space group P4/mmm (No. 123)
One atom of each set of equivalent atoms:
Al: 0.000 0.000 0.000 [1 per cell]
Co: 0.500 0.500 0.253 [2 per cell]
As: 0.000 0.000 0.500 [1 per cell]

Calculated values
ΔE_f = -0.261 eV/atom
ΔE to the lowest computed polymorph = 0 meV/atom
calculated total energy = -15.90 eV per atom
magnetization = 1.8 μB/f.u.

---

VASP calculation (meta-GGA SCAN) on YBe2H at its PBEsol-relaxed geometry.

Lattice parameters (Å, degrees): 7.261 7.261 7.261 90.00 90.00 90.00
Space group Fd-3m (No. 227, origin choice 2)
One atom of each set of equivalent atoms:
Y: 0.125 0.125 0.125 [8 per cell]
Be: 0.000 0.000 0.500 [16 per cell]
H: 0.125 0.125 0.625 [8 per cell]

Calculated values
ΔE to the lowest computed polymorph = 0 meV/atom
calculated total energy = -9.75 eV per atom
magnetization = 0.0 μB/f.u.

---

VASP calculation (meta-GGA SCAN) on Cs2HAu at its PBEsol-relaxed geometry.

Lattice parameters (Å, degrees): 8.048 8.048 8.048 90.00 90.00 90.00
Space group Fm-3m (No. 225)
One atom of each set of equivalent atoms:
Cs: 0.250 0.250 0.250 [8 per cell]
H: 0.000 0.000 0.000 [4 per cell]
Au: 0.000 0.000 0.500 [4 per cell]

Calculated values
ΔE to the lowest computed polymorph = 0 meV/atom
calculated total energy = -37.35 eV per atom
magnetization = 0.0 μB/f.u.

---

VASP calculation (meta-GGA SCAN) on NaTmS2 at its PBEsol-relaxed geometry.

Lattice parameters (Å, degrees): 3.8780 3.8780 19.7501 90.00 90.00 120.00
Space group R-3m (No. 166, hexagonal axes)
One atom of each set of equivalent atoms:
Na: 0.0000 0.0000 0.0000 [3 per cell]
Tm: 0.0000 0.0000 0.5000 [3 per cell]
S: 0.0000 0.0000 0.2417 [6 per cell]

Calculated values
E_form (uncorrected) = -2.121 eV/atom
calculated total energy = -20.95 eV per atom
magnetization = 0.0 μB/f.u.

---

magnetization of number 4 (Zn2HPd2)? 0.0 μB/f.u.

---

magnetization of number 3 (Ag4RuW)? 0.0 μB/f.u.

---

Which formula does entry 4 have? Zn2HPd2